The following is a PBE with a Hubbard U calculation of crystalline CrGe2F at its relaxed geometry, from the Alexandria database.

a = 9.0889 Å, b = 9.0889 Å, c = 4.0094 Å
α = 90.00°, β = 90.00°, γ = 90.00°
Closest atoms and distances in Å follow each position.
Space group I-42d (No. 122)
Inequivalent atoms, fractional coordinates:
Cr1 0.0000 0.0000 0.0000  2 F 2.00
Ge1 0.1737 0.7500 0.6250  2 Ge 2.44
F1 0.0000 0.0000 0.5000  2 Cr 2.00

Summary:
- Polymorph energy (0 for the lowest one): 0.000 eV/atom
- Uncorrected energy: -0.3641 Ry per atom